Record 1
ZnCd2Pt | PBEsol | optimized geometry

- formation enthalpy at 0 K (eV/atom) = -0.149
- VASP energy (eV/atom) = -2.884
- V (Å³/cell) = 67.51
- total moment (Bohr magnetons per cell) = 0.00

Lattice parameters (Å, degrees): 2.987 3.978 5.682 90.00 90.08 90.00
Fractional positions:
Zn (0.000, 0.000, 0.000)
Cd (0.499, 0.500, 0.252)
Cd (0.501, 0.500, 0.748)
Pt (0.000, 0.000, 0.500)

=====

Record 2
ZnCdPt2 | PBEsol | optimized geometry

- formation enthalpy at 0 K (eV/atom) = -0.263
- VASP energy (eV/atom) = -4.440
- V (Å³/cell) = 62.22
- total moment (Bohr magnetons per cell) = 0.00

Lattice parameters (Å, degrees): 4.721 4.721 4.946 102.68 102.68 35.45
Fractional positions:
Zn (0.000, 0.000, 0.000)
Cd (0.500, 0.500, 0.500)
Pt (0.262, 0.262, 0.762)
Pt (0.738, 0.738, 0.238)

=====

Record 3
ZnCd2Pt | PBEsol | optimized geometry

- formation enthalpy at 0 K (eV/atom) = -0.217
- VASP energy (eV/atom) = -2.952
- V (Å³/cell) = 67.17
- total moment (Bohr magnetons per cell) = 0.00

Lattice parameters (Å, degrees): 5.098 5.098 5.098 136.90 131.02 67.27
Fractional positions:
Zn (0.000, 0.000, 0.000)
Cd (0.254, 0.754, 0.500)
Cd (0.522, 0.522, 0.000)
Pt (0.783, 0.283, 0.500)

=====

Record 4
ZnCdPt2 | PBEsol | optimized geometry

- formation enthalpy at 0 K (eV/atom) = -0.449
- VASP energy (eV/atom) = -4.626
- V (Å³/cell) = 61.07
- total moment (Bohr magnetons per cell) = 0.00

Lattice parameters (Å, degrees): 2.908 2.908 7.222 90.00 90.00 90.00
Fractional positions:
Zn (0.000, 0.000, 0.000)
Cd (0.000, 0.000, 0.500)
Pt (0.500, 0.500, 0.224)
Pt (0.500, 0.500, 0.776)

=====

Record 5
ZnCdPt2 | PBEsol | optimized geometry

- formation enthalpy at 0 K (eV/atom) = -0.380
- VASP energy (eV/atom) = -4.556
- V (Å³/cell) = 61.64
- total moment (Bohr magnetons per cell) = 0.00

Lattice parameters (Å, degrees): 4.696 4.696 2.886 90.00 90.00 104.38
Fractional positions:
Zn (0.000, 0.000, 0.000)
Cd (0.500, 0.500, 0.000)
Pt (0.000, 0.500, 0.500)
Pt (0.500, 0.000, 0.500)

=====

Record 6
ZnCdPt2 | PBEsol | optimized geometry

- formation enthalpy at 0 K (eV/atom) = -0.261
- VASP energy (eV/atom) = -4.437
- V (Å³/cell) = 62.38
- total moment (Bohr magnetons per cell) = 0.00

Lattice parameters (Å, degrees): 5.429 5.429 5.429 148.75 130.72 59.51
Fractional positions:
Zn (0.000, 0.000, 0.000)
Cd (0.257, 0.757, 0.500)
Pt (0.519, 0.519, 0.000)
Pt (0.777, 0.277, 0.500)

=====

> What is the formula in the fifth record?

ZnCdPt2

=====

> Number 1 is which compound?

ZnCd2Pt

=====

Please write out number 5 again, unchanged.
ZnCdPt2 | PBEsol | optimized geometry

- formation enthalpy at 0 K (eV/atom) = -0.380
- VASP energy (eV/atom) = -4.556
- V (Å³/cell) = 61.64
- total moment (Bohr magnetons per cell) = 0.00

Lattice parameters (Å, degrees): 4.696 4.696 2.886 90.00 90.00 104.38
Fractional positions:
Zn (0.000, 0.000, 0.000)
Cd (0.500, 0.500, 0.000)
Pt (0.000, 0.500, 0.500)
Pt (0.500, 0.000, 0.500)